[1]
Entry from Alexandria: crystalline CsY2B4 at its relaxed geometry (GGA-PBE).

Cell: 4.6066 4.6066 7.4649 Å, 72.03 72.03 90.00°
Sites, in units of the cell vectors:
Cs: 0.0000 0.0000 0.0000
Y: 0.6306 0.6306 0.7389
Y: 0.3694 0.3694 0.2611
B: 0.8184 0.8184 0.3632
B: 0.1816 0.1816 0.6368
B: 0.0000 0.5000 0.0000
B: 0.5000 0.0000 0.0000

Results
Raw total energy (eV/atom): -3.820
SG: I4/mmm

***

[2]
Entry from Alexandria: crystalline Cs2YB at its relaxed geometry (GGA-PBE).

Cell: 6.0556 6.0556 6.0556 Å, 60.00 60.00 60.00°
Sites, in units of the cell vectors:
Cs: 0.2500 0.2500 0.2500
Cs: 0.7500 0.7500 0.7500
Y: 0.5000 0.5000 0.5000
B: 0.0000 0.0000 0.0000

Results
Polymorph energy (0 for the lowest one) (meV/atom): 829
SG: Fm-3m

***

[3]
Entry from Alexandria: crystalline CsZnB at its relaxed geometry (GGA-PBE).

Cell: 5.5987 5.9368 6.8444 Å, 113.42 90.24 117.88°
Sites, in units of the cell vectors:
Cs: 0.8290 0.4052 0.0863
Cs: 0.0438 0.8304 0.7498
Zn: 0.4858 0.7175 0.3995
Zn: 0.2403 0.2252 0.4223
B: 0.5524 0.1263 0.4346
B: 0.8300 0.1254 0.4344

Results
Polymorph energy (0 for the lowest one) (meV/atom): 47
SG: P1

***

[4]
Entry from Alexandria: crystalline CsZn3B at its relaxed geometry (GGA-PBE).

Cell: 4.6823 4.6823 4.6823 Å, 90.00 90.00 90.00°
Sites, in units of the cell vectors:
Cs: 0.5000 0.5000 0.5000
Zn: 0.0000 0.5000 0.0000
Zn: 0.0000 0.0000 0.5000
Zn: 0.5000 0.0000 0.0000
B: 0.0000 0.0000 0.0000

Results
Polymorph energy (0 for the lowest one) (meV/atom): 0
SG: Pm-3m

***

[5]
Entry from Alexandria: crystalline CsZn2B2 at its relaxed geometry (GGA-PBE).

Cell: 8.3103 8.3103 3.6733 Å, 90.00 90.00 90.00°
Sites, in units of the cell vectors:
Cs: 0.0000 0.0000 0.0000
Cs: 0.5000 0.5000 0.0000
Zn: 0.3966 0.8966 0.0000
Zn: 0.8966 0.6034 0.0000
Zn: 0.6034 0.1034 0.0000
Zn: 0.1034 0.3966 0.0000
B: 0.0668 0.5668 0.5000
B: 0.5668 0.9332 0.5000
B: 0.9332 0.4332 0.5000
B: 0.4332 0.0668 0.5000

Results
Raw total energy (eV/atom): -2.345
SG: P4/mbm

***

[6]
Entry from Alexandria: crystalline CsZnB3 at its relaxed geometry (GGA-PBE).

Cell: 5.1019 5.1019 5.1019 Å, 90.00 90.00 90.00°
Sites, in units of the cell vectors:
Cs: 0.0000 0.0000 0.0000
Zn: 0.5000 0.5000 0.5000
B: 0.0000 0.5000 0.0000
B: 0.0000 0.0000 0.5000
B: 0.5000 0.0000 0.0000

Results
Raw total energy (eV/atom): -1.092
SG: Pm-3m

***

[7]
Entry from Alexandria: crystalline CsZn2B at its relaxed geometry (GGA-PBE).

Cell: 6.6564 6.6564 6.6662 Å, 60.05 60.05 90.00°
Sites, in units of the cell vectors:
Cs: 0.0000 0.0000 0.0000
Cs: 0.7500 0.2500 0.5000
Zn: 0.3753 0.1250 0.2500
Zn: 0.3747 0.6250 0.2500
Zn: 0.3750 0.6247 0.7500
Zn: 0.8750 0.6253 0.7500
B: 0.5000 0.5000 0.0000
B: 0.2500 0.7500 0.5000

Results
Raw total energy (eV/atom): -2.325
SG: I4_1/amd

***

[8]
Entry from Alexandria: crystalline CsZn3B at its relaxed geometry (GGA-PBE).

Cell: 7.0329 7.0329 7.0329 Å, 90.00 90.00 90.00°
Site moments in Bohr magnetons follow the coordinates.
Sites, in units of the cell vectors:
Cs: 0.0000 0.0000 0.0000  -0.01
Zn: 0.0000 0.5000 0.0000  -0.02
Zn: 0.0000 0.0000 0.5000  -0.02
Zn: 0.5000 0.0000 0.0000  -0.03
B: 0.5000 0.5000 0.5000  -0.47

Results
Polymorph energy (0 for the lowest one) (meV/atom): 1170
SG: Pm-3m

***

Computed values of total magnetization (unit: μB per formula unit) for the preceding records, in sequence: 0.01, 0.00, 0.00, 0.00, 0.00, 0.00, 0.00, 1.92.
Computed values of DOS at the Fermi energy (unit: states/eV per cell) for the preceding records, in sequence: 5.931, 6.008, 1.403, 2.664, 5.440, 5.241, 0.000, 9.907.